[1]
VASP calculation (PBE-GGA) on crystalline Li2ZrAs at its relaxed geometry.

- calculated volume (Å³ per cell) = 151.2
- crystal system = tetragonal
- symmetry = No. 139
- DFT formation energy (meV per atom) = -364
- uncorrected energy (eV/atom) = -4.62

a b c (Å): 3.826 3.826 10.332
angles (deg): 90.00 90.00 90.00
Sites, in units of the cell vectors:
Li  0.000  0.500  0.250
Li  0.000  0.500  0.750
Li  0.500  0.000  0.250
Li  0.500  0.000  0.750
Zr  0.000  0.000  0.000
Zr  0.500  0.500  0.500
As  0.000  0.000  0.500
As  0.500  0.500  0.000

---

[2]
VASP calculation (PBE-GGA) on crystalline LiZr2As2 at its relaxed geometry.

- calculated volume (Å³ per cell) = 199.5
- crystal system = tetragonal
- symmetry = No. 127
- DFT formation energy (meV per atom) = -617
- uncorrected energy (eV/atom) = -6.28

a b c (Å): 7.562 7.562 3.488
angles (deg): 90.00 90.00 90.00
Sites, in units of the cell vectors:
Li  0.000  0.000  0.000
Li  0.500  0.500  0.000
Zr  0.142  0.358  0.000
Zr  0.358  0.858  0.000
Zr  0.642  0.142  0.000
Zr  0.858  0.642  0.000
As  0.155  0.655  0.500
As  0.345  0.155  0.500
As  0.655  0.845  0.500
As  0.845  0.345  0.500

---

[3]
VASP calculation (PBE-GGA) on crystalline Li2ZrAs at its relaxed geometry.

- calculated volume (Å³ per cell) = 247.6
- crystal system = cubic
- symmetry = No. 225
- DFT formation energy (meV per atom) = -38
- uncorrected energy (eV/atom) = -4.29

a b c (Å): 6.279 6.279 6.279
angles (deg): 90.00 90.00 90.00
Sites, in units of the cell vectors:
Li  0.250  0.250  0.250
Li  0.250  0.250  0.750
Li  0.250  0.750  0.250
Li  0.250  0.750  0.750
Li  0.750  0.250  0.250
Li  0.750  0.250  0.750
Li  0.750  0.750  0.250
Li  0.750  0.750  0.750
Zr  0.000  0.000  0.000
Zr  0.000  0.500  0.500
Zr  0.500  0.000  0.500
Zr  0.500  0.500  0.000
As  0.000  0.000  0.500
As  0.000  0.500  0.000
As  0.500  0.000  0.000
As  0.500  0.500  0.500

---

[4]
VASP calculation (PBE-GGA) on crystalline Li2ZrAs at its relaxed geometry.

- calculated volume (Å³ per cell) = 78.9
- crystal system = tetragonal
- symmetry = No. 99
- DFT formation energy (meV per atom) = -337
- uncorrected energy (eV/atom) = -4.59

a b c (Å): 3.597 3.597 6.100
angles (deg): 90.00 90.00 90.00
Sites, in units of the cell vectors:
Li  0.000  0.000  0.000
Li  0.500  0.500  0.217
Zr  0.000  0.000  0.525
As  0.500  0.500  0.693

---

[5]
VASP calculation (PBE-GGA) on crystalline Li2ZrAs at its relaxed geometry.

- calculated volume (Å³ per cell) = 148.9
- crystal system = orthorhombic
- symmetry = No. 35
- DFT formation energy (meV per atom) = -318
- uncorrected energy (eV/atom) = -4.57

a b c (Å): 4.331 5.252 6.545
angles (deg): 90.00 90.00 90.00
Sites, in units of the cell vectors:
Li  0.000  0.000  0.000
Li  0.000  0.500  0.220
Li  0.500  0.000  0.220
Li  0.500  0.500  0.000
Zr  0.000  0.500  0.684
Zr  0.500  0.000  0.684
As  0.000  0.000  0.446
As  0.500  0.500  0.446

---

[6]
VASP calculation (PBE-GGA) on crystalline Li2ZrAs at its relaxed geometry.

- calculated volume (Å³ per cell) = 70.1
- crystal system = tetragonal
- symmetry = No. 123
- DFT formation energy (meV per atom) = -496
- uncorrected energy (eV/atom) = -4.75

a b c (Å): 3.882 3.882 4.652
angles (deg): 90.00 90.00 90.00
Sites, in units of the cell vectors:
Li  0.000  0.500  0.000
Li  0.500  0.000  0.000
Zr  0.000  0.000  0.500
As  0.500  0.500  0.500